Density functional theory data (GGA+U) for an optimized crystal structure of Ac2MgFeO6.

a = 5.6604 Å, b = 5.6197 Å, c = 7.8336 Å
α = 90.00°, β = 89.93°, γ = 90.00°
Site moments in Bohr magnetons follow the coordinates.
Fractional coordinates of all 20 atoms:
Ac: 0.0020 0.9987 0.2503  0.01
Ac: 0.5020 0.5013 0.7503  0.01
Ac: 0.9980 0.0013 0.7497  0.01
Ac: 0.4980 0.4987 0.2497  0.01
Mg: 0.5000 0.0000 0.5000  -0.01
Mg: 0.0000 0.5000 0.0000  -0.01
Fe: 0.5000 0.0000 0.0000  2.32
Fe: 0.0000 0.5000 0.5000  2.32
O: 0.2594 0.7556 0.0228  -0.06
O: 0.7594 0.7444 0.5228  -0.06
O: 0.7406 0.2444 0.9772  -0.06
O: 0.2406 0.2556 0.4772  -0.06
O: 0.2431 0.7417 0.4775  -0.06
O: 0.7431 0.7583 0.9775  -0.06
O: 0.7569 0.2583 0.5225  -0.06
O: 0.2569 0.2417 0.0225  -0.06
O: 0.9569 0.4995 0.2611  -0.03
O: 0.4569 0.0005 0.7611  -0.03
O: 0.0431 0.5005 0.7389  -0.03
O: 0.5431 0.9995 0.2389  -0.03

Computed properties:
Energy (Ry/atom): -0.5217
SG: P2_1/c, No. 14
Volume (Å³/f.u.): 125
Total moment (μB per formula unit): 2.04